A PBEsol-optimized structure of ErSi2Pd2, computed with meta-GGA SCAN.

As for the total magnetization: 0.000 μB per atom. Its space-group type is I4/mmm. The uncorrected energy is -28.1782 eV per atom. For the uncorrected formation energy, the calculation gives -994 meV/atom. The calculation puts the volume at 16.4 A^3/atom. For the calculated density, the calculation gives 8.84 Mg/m³.

Geometry as POSCAR:
```
ErSi2Pd2
1.0
-2.0348 2.0348 4.9484
2.0348 -2.0348 4.9484
2.0348 2.0348 -4.9484
Er Si Pd
1 2 2
Cartesian
0.0000 0.0000 0.0000
0.0000 0.0000 3.8017
0.0000 0.0000 6.0951
2.0348 0.0000 2.4742
0.0000 2.0348 2.4742
```

---

A PBEsol-optimized structure of Mo2PbBr, computed with meta-GGA SCAN.

As for the total magnetization: 0.641 μB per atom. Its space-group type is Fm-3m. The uncorrected energy is -40.1509 eV per atom. The energy above the most stable polymorph in this dataset is 907 meV/atom. For the uncorrected formation energy, the calculation gives 1102 meV/atom. The calculation puts the volume at 17.7 A^3/atom. For the calculated density, the calculation gives 11.20 Mg/m³.

Geometry as POSCAR:
```
Mo2PbBr
1.0
0.0000 3.2864 3.2864
3.2864 0.0000 3.2864
3.2864 3.2864 0.0000
Mo Pb Br
2 1 1
Cartesian
1.6432 1.6432 1.6432
4.9297 4.9297 4.9297
0.0000 0.0000 0.0000
3.2864 3.2864 3.2864
```

---

A PBEsol-optimized structure of Co4TeO8, computed with meta-GGA SCAN.

As for the total magnetization: 0.153 μB per atom. Its space-group type is C2/m. The uncorrected energy is -13.1963 eV per atom. The energy above the most stable polymorph in this dataset is 0 meV/atom. For the uncorrected formation energy, the calculation gives -1172 meV/atom. The calculation puts the volume at 10.8 A^3/atom. For the calculated density, the calculation gives 5.82 Mg/m³.

Geometry as POSCAR:
```
Co4TeO8
1.0
4.8646 -2.9142 0.0000
4.8646 2.9142 0.0000
-4.0965 0.0000 4.9458
Co Te O
4 1 8
Cartesian
0.0000 0.0000 0.0000
2.4323 1.4571 0.0000
2.4323 -1.4571 0.0000
2.8163 0.0000 2.4729
-2.0483 0.0000 2.4729
1.6166 0.0000 0.9212
1.9512 1.4494 3.5112
3.6815 1.4494 1.4346
-0.8185 0.0000 4.0295
6.4512 0.0000 0.9163
1.9512 -1.4494 3.5112
3.6815 -1.4494 1.4346
4.0161 0.0000 4.0246
```

---

A PBEsol-optimized structure of BeCr2Mo, computed with meta-GGA SCAN.

As for the total magnetization: 0.000 μB per atom. Its space-group type is P4/mmm. The value obtained for the formation energy is 0.142 eV per atom. The uncorrected energy is -18.8605 eV per atom. The calculation puts the volume at 11.5 A^3/atom. For the calculated density, the calculation gives 7.53 Mg/m³.

Geometry as POSCAR:
```
BeCr2Mo
1.0
3.4603 0.0000 0.0000
0.0000 3.4603 0.0000
0.0000 0.0000 3.8485
Be Cr Mo
1 2 1
Cartesian
0.0000 0.0000 0.0000
0.0000 1.7302 1.9242
1.7302 0.0000 1.9242
1.7302 1.7302 0.0000
```